1.
A plane-wave DFT calculation with PBE was carried out for a geometry-optimized Ti2Nb2Tc structure.

Computed properties:
Fermi-level density of states = 10.07 states/eV per cell
E_form = 0.101 eV per atom
Raw total energy = -9.16 eV per atom
ΔE to the lowest computed polymorph = 277 meV/atom

Geometry as POSCAR:
```
Ti2Nb2Tc
1.0
-2.163 2.163 9.896
2.163 -2.163 9.896
2.163 2.163 -9.896
Ti Nb Tc
4 4 2
Direct
0.050 0.300 0.750 Ti
0.300 0.050 0.250 Ti
0.700 0.950 0.750 Ti
0.950 0.700 0.250 Ti
0.204 0.454 0.750 Nb
0.454 0.204 0.250 Nb
0.546 0.796 0.750 Nb
0.796 0.546 0.250 Nb
0.375 0.625 0.750 Tc
0.625 0.375 0.250 Tc
```

2.
A plane-wave DFT calculation with PBE was carried out for a geometry-optimized SrTmO2 structure.

Computed properties:
Fermi-level density of states = 0.80 states/eV per cell
Raw total energy = -6.71 eV per atom
ΔE to the lowest computed polymorph = 22 meV/atom

Geometry as POSCAR:
```
SrTmO2
1.0
1.720 0.993 6.241
-1.720 0.993 6.241
0.000 -1.986 6.241
Sr Tm O
1 1 2
Direct
0.000 0.000 0.000 Sr
0.826 0.826 0.826 Tm
0.224 0.224 0.224 O
0.431 0.431 0.431 O
```

3.
A plane-wave DFT calculation with PBE was carried out for a geometry-optimized PrH3Ir structure.

Computed properties:
Fermi-level density of states = 0.21 states/eV per cell
Raw total energy = -5.26 eV per atom

Geometry as POSCAR:
```
PrH3Ir
1.0
5.933 -1.992 0.000
5.933 1.992 0.000
-0.162 0.000 4.865
Pr H Ir
2 6 2
Direct
0.000 0.000 0.000 Pr
0.739 0.739 0.507 Pr
0.181 0.181 0.249 H
0.183 0.183 0.764 H
0.428 0.428 0.162 H
0.554 0.554 0.741 H
0.785 0.785 0.010 H
0.949 0.949 0.505 H
0.284 0.284 0.013 Ir
0.444 0.444 0.513 Ir
```

4.
A plane-wave DFT calculation with PBE was carried out for a geometry-optimized YAl3Os structure.

Computed properties:
Fermi-level density of states = 14.69 states/eV per cell
E_form = 2.244 eV per atom
Raw total energy = -3.54 eV per atom
ΔE to the lowest computed polymorph = 2804 meV/atom

Geometry as POSCAR:
```
YAl3Os
1.0
5.076 0.000 0.000
0.000 5.076 0.000
0.000 0.000 5.076
Y Al Os
1 3 1
Direct
0.000 0.000 0.000 Y
0.000 0.000 0.500 Al
0.000 0.500 0.000 Al
0.500 0.000 0.000 Al
0.500 0.500 0.500 Os
```

5.
A plane-wave DFT calculation with PBE was carried out for a geometry-optimized MgSn2PtRh structure.

Computed properties:
Fermi-level density of states = 4.37 states/eV per cell
E_form = 0.415 eV per atom
Raw total energy = -4.18 eV per atom

Geometry as POSCAR:
```
MgSn2PtRh
1.0
5.081 0.000 0.000
0.000 5.081 0.000
0.000 0.000 5.120
Mg Sn Pt Rh
1 2 1 1
Direct
0.000 0.000 0.000 Mg
0.000 0.500 0.500 Sn
0.500 0.000 0.500 Sn
0.500 0.500 0.500 Pt
0.500 0.500 0.000 Rh
```

6.
A plane-wave DFT calculation with PBE was carried out for a geometry-optimized Sc5Ag structure.

Computed properties:
Fermi-level density of states = 11.48 states/eV per cell
E_form = 0.018 eV per atom
Raw total energy = -5.73 eV per atom
ΔE to the lowest computed polymorph = 64 meV/atom

Geometry as POSCAR:
```
Sc5Ag
1.0
5.593 0.000 0.000
-2.796 4.843 0.000
0.000 0.000 5.084
Sc Ag
5 1
Direct
0.000 0.680 0.000 Sc
0.320 0.320 0.000 Sc
0.333 0.667 0.500 Sc
0.667 0.333 0.500 Sc
0.680 0.000 0.000 Sc
0.000 0.000 0.500 Ag
```

7.
A plane-wave DFT calculation with PBE was carried out for a geometry-optimized CaSc2SnN structure.

Computed properties:
Fermi-level density of states = 2.12 states/eV per cell
Raw total energy = -6.45 eV per atom

Geometry as POSCAR:
```
CaSc2SnN
1.0
4.496 0.000 0.000
0.000 4.496 0.000
0.000 0.000 4.803
Ca Sc Sn N
1 2 1 1
Direct
0.000 0.000 0.000 Ca
0.000 0.500 0.500 Sc
0.500 0.000 0.500 Sc
0.500 0.500 0.000 Sn
0.000 0.000 0.500 N
```

8.
A plane-wave DFT calculation with PBE was carried out for a geometry-optimized AcScGa2Au5 structure.

Computed properties:
Fermi-level density of states = 4.80 states/eV per cell
E_form = -0.442 eV per atom
Raw total energy = -4.10 eV per atom

Geometry as POSCAR:
```
AcScGa2Au5
1.0
5.034 0.000 0.000
0.000 5.034 0.000
0.000 0.000 7.910
Ac Sc Ga Au
1 1 2 5
Direct
0.000 0.000 0.000 Ac
0.000 0.000 0.500 Sc
0.500 0.500 0.334 Ga
0.500 0.500 0.666 Ga
0.000 0.500 0.295 Au
0.000 0.500 0.705 Au
0.500 0.000 0.295 Au
0.500 0.000 0.705 Au
0.500 0.500 0.000 Au
```

9.
A plane-wave DFT calculation with PBE was carried out for a geometry-optimized NaCdAs structure.

Computed properties:
Fermi-level density of states = 1.23 states/eV per cell
E_form = -0.080 eV per atom
Raw total energy = -2.37 eV per atom

Geometry as POSCAR:
```
NaCdAs
1.0
-1.958 1.958 5.081
1.958 -1.958 5.081
1.958 1.958 -5.081
Na Cd As
1 1 1
Direct
0.000 0.000 0.000 Na
0.717 0.717 0.000 Cd
0.285 0.285 0.000 As
```

10.
A plane-wave DFT calculation with PBE was carried out for a geometry-optimized TbGa12Co6 structure.

Computed properties:
Fermi-level density of states = 10.10 states/eV per cell
E_form = -0.227 eV per atom
Raw total energy = -4.63 eV per atom

Geometry as POSCAR:
```
TbGa12Co6
1.0
5.487 3.168 2.777
-5.487 3.168 2.777
0.000 -6.336 2.777
Tb Ga Co
1 12 6
Direct
0.000 0.000 0.000 Tb
0.117 0.500 0.883 Ga
0.117 0.883 0.500 Ga
0.147 0.413 0.413 Ga
0.413 0.147 0.413 Ga
0.413 0.413 0.147 Ga
0.500 0.117 0.883 Ga
0.500 0.883 0.117 Ga
0.587 0.587 0.853 Ga
0.587 0.853 0.587 Ga
0.853 0.587 0.587 Ga
0.883 0.117 0.500 Ga
0.883 0.500 0.117 Ga
0.273 0.273 0.694 Co
0.273 0.694 0.273 Co
0.306 0.727 0.727 Co
0.694 0.273 0.273 Co
0.727 0.306 0.727 Co
0.727 0.727 0.306 Co
```

11.
A plane-wave DFT calculation with PBE was carried out for a geometry-optimized LiYPuPt structure.

Computed properties:
Fermi-level density of states = 5.53 states/eV per cell
E_form = -0.450 eV per atom
Raw total energy = -7.64 eV per atom

Geometry as POSCAR:
```
LiYPuPt
1.0
0.000 3.525 3.525
3.525 0.000 3.525
3.525 3.525 0.000
Li Y Pu Pt
1 1 1 1
Direct
0.000 0.000 0.000 Li
0.250 0.250 0.250 Y
0.750 0.750 0.750 Pu
0.500 0.500 0.500 Pt
```

12.
A plane-wave DFT calculation with PBE was carried out for a geometry-optimized Cs3NdTh3Se8 structure.

Computed properties:
Fermi-level density of states = 9.60 states/eV per cell
Raw total energy = -5.46 eV per atom

Geometry as POSCAR:
```
Cs3NdTh3Se8
1.0
4.294 2.479 8.594
-4.294 2.479 8.594
0.000 -4.959 8.594
Cs Nd Th Se
3 1 3 8
Direct
0.000 0.500 0.500 Cs
0.500 0.000 0.500 Cs
0.500 0.500 0.000 Cs
0.500 0.500 0.500 Nd
0.000 0.000 0.500 Th
0.000 0.500 0.000 Th
0.500 0.000 0.000 Th
0.224 0.733 0.733 Se
0.231 0.231 0.231 Se
0.267 0.267 0.776 Se
0.267 0.776 0.267 Se
0.733 0.224 0.733 Se
0.733 0.733 0.224 Se
0.769 0.769 0.769 Se
0.776 0.267 0.267 Se
```